# 1
# LuTaCoRu (PBE, optimized geometry)
data_LuTaCoRu
_chemical_formula_sum 'Lu4 Ta4 Co4 Ru4'
_cell_length_a 6.4075
_cell_length_b 6.4075
_cell_length_c 6.4075
_cell_angle_alpha 90.00
_cell_angle_beta 90.00
_cell_angle_gamma 90.00
_symmetry_space_group_name_H-M 'F -4 3 m'
_symmetry_Int_Tables_number 216
_symmetry_space_group_name_Hall 'F -4 2 3'
loop_
_atom_site_label
_atom_site_fract_x
_atom_site_fract_y
_atom_site_fract_z
Lu1 0.0000 0.0000 0.0000
Ta1 0.0000 0.0000 0.5000
Co1 0.2500 0.2500 0.2500
Ru1 0.2500 0.2500 0.7500
# **Electronic total energy**: -8.4740 eV/atom

# 2
# SrAcIr (PBE, optimized geometry)
data_SrAcIr
_chemical_formula_sum 'Sr2 Ac2 Ir2'
_cell_length_a 4.3706
_cell_length_b 7.6649
_cell_length_c 8.1352
_cell_angle_alpha 117.39
_cell_angle_beta 105.37
_cell_angle_gamma 90.08
_symmetry_space_group_name_H-M 'P -1'
_symmetry_Int_Tables_number 2
_symmetry_space_group_name_Hall '-P 1'
loop_
_atom_site_label
_atom_site_fract_x
_atom_site_fract_y
_atom_site_fract_z
Sr1 0.1342 0.4686 0.2673
Ac1 0.3580 0.0254 0.7185
Ir1 0.2473 0.2369 0.4937
# **ΔE to the lowest computed polymorph**: 0.000 eV/atom
# **Electronic total energy**: -5.2678 eV/atom

# 3
# HfCdSN2 (PBE, optimized geometry)
data_HfCdSN2
_chemical_formula_sum 'Hf1 Cd1 S1 N2'
_cell_length_a 4.0818
_cell_length_b 4.0818
_cell_length_c 4.8100
_cell_angle_alpha 90.00
_cell_angle_beta 90.00
_cell_angle_gamma 90.00
_symmetry_space_group_name_H-M 'P 4/m m m'
_symmetry_Int_Tables_number 123
_symmetry_space_group_name_Hall '-P 4 2'
loop_
_atom_site_label
_atom_site_fract_x
_atom_site_fract_y
_atom_site_fract_z
Hf1 0.0000 0.0000 0.0000
Cd1 0.5000 0.5000 0.5000
S1 0.5000 0.5000 0.0000
N1 0.0000 0.5000 0.5000
# **ΔE to the lowest computed polymorph**: 1.222 eV/atom
# **Electronic total energy**: -5.0219 eV/atom

# 4
# NdInGe2 (PBE, optimized geometry)
data_NdInGe2
_chemical_formula_sum 'Nd3 In3 Ge6'
_cell_length_a 4.9038
_cell_length_b 4.9038
_cell_length_c 21.3353
_cell_angle_alpha 90.00
_cell_angle_beta 90.00
_cell_angle_gamma 120.00
_symmetry_space_group_name_H-M 'R -3 m'
_symmetry_Int_Tables_number 166
_symmetry_space_group_name_Hall '-R 3 2"'
loop_
_atom_site_label
_atom_site_fract_x
_atom_site_fract_y
_atom_site_fract_z
Nd1 0.0000 0.0000 0.0000
In1 0.0000 0.0000 0.5000
Ge1 0.0000 0.0000 0.3777
# **Electronic total energy**: -3.9748 eV/atom

# 5
# ZrAlOF2 (PBE, optimized geometry)
data_ZrAlOF2
_chemical_formula_sum 'Zr1 Al1 O1 F2'
_cell_length_a 4.3175
_cell_length_b 4.3175
_cell_length_c 3.4279
_cell_angle_alpha 90.00
_cell_angle_beta 90.00
_cell_angle_gamma 90.00
_symmetry_space_group_name_H-M 'P 4/m m m'
_symmetry_Int_Tables_number 123
_symmetry_space_group_name_Hall '-P 4 2'
loop_
_atom_site_label
_atom_site_fract_x
_atom_site_fract_y
_atom_site_fract_z
Zr1 0.0000 0.0000 0.0000
Al1 0.5000 0.5000 0.5000
O1 0.5000 0.5000 0.0000
F1 0.0000 0.5000 0.5000
# **ΔE to the lowest computed polymorph**: 0.352 eV/atom
# **Electronic total energy**: -6.0096 eV/atom